(1)
ZnInSb, relaxed, DFT PBE; calculated volume = 73.5 Å³ per cell; ΔE_f (raw) = 29.3 kJ/mol of formula units; mass density = 6.82 Mg/m³
1.0
5.0885 0.0000 0.0000
-2.5443 4.4068 0.0000
0.0000 0.0000 3.2771
Zn In Sb
1 1 1
direct
0.0000 0.0000 0.0000
0.3333 0.6667 0.5000
0.6667 0.3333 0.0000



(2)
ReBr, relaxed, DFT PBE; polymorph energy (0 for the lowest one) = 261 meV/atom; calculated volume = 169.2 Å³ per cell; ΔE_f (raw) = 94.9 kJ/mol of formula units; mass density = 7.84 Mg/m³
1.0
7.4358 -1.6445 0.0000
7.4358 1.6445 0.0000
-4.1761 0.0000 6.9164
Re Br
3 3
direct
0.0000 0.0000 0.0000
0.5390 0.5390 0.8232
0.8813 0.8813 0.6617
0.1790 0.1790 0.8137
0.2773 0.2773 0.3783
0.5048 0.5048 0.2664



(3)
Ac3NdZn2, relaxed, DFT PBE; calculated volume = 200.9 Å³ per cell; mass density = 7.90 Mg/m³; calculated formation energy = -0.154 eV per atom
1.0
3.9193 0.0000 0.0000
0.0000 3.9193 0.0000
0.0000 0.0000 13.0811
Ac Nd Zn
3 1 2
direct
0.0000 0.0000 0.0000
0.0000 0.0000 0.2953
0.0000 0.0000 0.7047
0.5000 0.5000 0.5000
0.5000 0.5000 0.1505
0.5000 0.5000 0.8495



(4)
RbPuScO6, relaxed, DFT PBE; calculated volume = 167.8 Å³ per cell; ΔE_f (raw) = -2099.5 kJ/mol of formula units; mass density = 4.66 Mg/m³
1.0
5.5880 0.0000 0.0000
-2.7940 4.8394 0.0000
0.0000 0.0000 6.2041
Rb Pu Sc O
1 1 1 6
direct
0.0000 0.0000 0.0000
0.6667 0.3333 0.5000
0.3333 0.6667 0.5000
0.3971 0.0188 0.6769
0.3971 0.3783 0.3231
0.6217 0.0188 0.3231
0.6217 0.6029 0.6769
0.9812 0.3783 0.6769
0.9812 0.6029 0.3231